DyPaI2 | PBE | optimized geometry

Lattice parameters (Å, degrees): 3.653 3.653 32.552 90.00 90.00 120.00
Element x y z (fractional)
Dy1 0.000 0.000 0.000
Dy2 0.333 0.667 0.667
Dy3 0.667 0.333 0.333
Pa1 0.000 0.000 0.500
Pa2 0.333 0.667 0.167
Pa3 0.667 0.333 0.833
I1 0.000 0.000 0.403
I2 0.000 0.000 0.597
I3 0.333 0.667 0.070
I4 0.333 0.667 0.264
I5 0.667 0.333 0.736
I6 0.667 0.333 0.930

E_tot = -54.99 eV for the cell shown
energy relative to the elements, uncorrected = -0.283 eV per atom
Fermi-level density of states = 18.36 states/eV per cell